Record 1
Below is a relaxed SrLi3Cu crystal, with properties calculated at the PBEsol level.

a = 4.9114 Å, b = 4.9114 Å, c = 4.9114 Å
α = 90.00°, β = 90.00°, γ = 90.00°
Closest atoms and distances in Å follow each position.
Space group Pm-3m (No. 221)
Asymmetric unit:
Sr 0.0000 0.0000 0.0000  12 Li 3.47
Li 0.0000 0.5000 0.5000  2 Cu 2.46
Cu 0.5000 0.5000 0.5000  6 Li 2.46

***

Record 2
Below is a relaxed Sr2LiCu crystal, with properties calculated at the PBEsol level.

a = 3.7984 Å, b = 3.7984 Å, c = 8.3917 Å
α = 90.00°, β = 90.00°, γ = 90.00°
Closest atoms and distances in Å follow each position.
Space group P4/mmm (No. 123)
Asymmetric unit:
Sr 0.0000 0.0000 0.2123  4 Cu 3.22, 1 Sr 3.56
Li 0.5000 0.5000 0.5000  8 Sr 3.61, 4 Li 3.80
Cu 0.5000 0.5000 0.0000  8 Sr 3.22

***

Record 3
Below is a relaxed Sr2Li2Cu crystal, with properties calculated at the PBEsol level.

a = 3.8278 Å, b = 3.8278 Å, c = 19.1358 Å
α = 90.00°, β = 90.00°, γ = 90.00°
Closest atoms and distances in Å follow each position.
Space group I4/mmm (No. 139)
Asymmetric unit:
Sr 0.0000 0.0000 0.0929  4 Cu 3.24, 1 Sr 3.56, 4 Li 3.56
Li 0.0000 0.5000 0.2500  4 Li 2.71
Cu 0.0000 0.0000 0.5000  8 Sr 3.24

***

no.,V (Å³ per atom),formation energy (eV/atom),DOS(E_F) (states/eV per cell)
1,23.70,0.125,2.81
2,30.27,0.061,3.13
3,28.04,0.089,5.02